Material: MnOF
Method: DFT, PBE+U
State: optimized geometry

Properties
D(E_F) = 0.16 states/eV/atom
Mass density = 4.377 Mg/m³
Symmetry = No. 1
VASP energy = -6.7130 eV per atom

Unit cell a=4.625 b=5.124 c=11.531 alpha=89.69 beta=87.21 gamma=89.82
Fractional positions:
Mn 0.000 0.000 0.000
Mn 0.002 0.490 0.151
Mn 0.473 0.437 0.396
Mn 0.490 0.939 0.247
Mn 0.494 0.003 0.747
Mn 0.524 0.456 0.901
Mn 0.935 0.506 0.645
Mn 0.967 0.998 0.493
O 0.264 0.117 0.379
O 0.277 0.619 0.264
O 0.286 0.157 0.884
O 0.725 0.316 0.766
O 0.741 0.307 0.508
O 0.742 0.833 0.629
O 0.785 0.812 0.130
O 0.801 0.321 0.023
F 0.201 0.203 0.633
F 0.203 0.669 0.519
F 0.256 0.173 0.132
F 0.258 0.672 0.006
F 0.261 0.686 0.760
F 0.725 0.754 0.383
F 0.743 0.251 0.264
F 0.744 0.784 0.880